No. 1
PBE Tb11In6Ge4, optimized geometry; DFT total energy = -199.6 eV per cell
1.0
10.2765 3.2118 4.2370
-2.6467 11.0809 -2.0210
-7.0830 -6.5620 6.3754
Tb In Ge
22 12 8
Direct
0.1010 0.4467 0.3457
0.4467 0.1010 0.3457
0.6685 0.3315 0.0000
0.7553 0.1010 0.6543
0.8990 0.5533 0.6543
0.8990 0.2447 0.3457
0.3139 0.5635 0.2496
0.5635 0.3139 0.2496
0.3315 0.6685 0.0000
0.6861 0.4365 0.7504
0.0643 0.3139 0.7504
0.6861 0.9357 0.2496
0.9357 0.6861 0.2496
0.4365 0.6861 0.7504
0.1010 0.7553 0.6543
0.2447 0.8990 0.3457
0.8338 0.8338 0.0000
0.1662 0.1662 0.0000
0.6685 0.6685 0.3370
0.5533 0.8990 0.6543
0.3139 0.0643 0.7504
0.3315 0.3315 0.6630
0.6228 0.0351 0.0000
0.0351 0.0351 0.4123
0.6228 0.6228 0.5877
0.3772 0.3772 0.4123
0.1286 0.1286 0.2573
0.1286 0.8714 0.0000
0.8714 0.1286 0.0000
0.9649 0.3772 0.0000
0.3772 0.9649 0.0000
0.9649 0.9649 0.5877
0.0351 0.6228 0.0000
0.8714 0.8714 0.7427
0.8469 0.5000 0.3469
0.1531 0.5000 0.6531
0.7500 0.2500 0.5000
0.2500 0.7500 0.5000
0.6190 0.6190 0.0000
0.3810 0.3810 0.0000
0.5000 0.8469 0.3469
0.5000 0.1531 0.6531

=====

No. 2
PBE InTcGe, optimized geometry; DFT total energy = -16.6 eV per cell
1.0
0.0000 3.0990 3.0990
3.0990 0.0000 3.0990
3.0990 3.0990 0.0000
Ge In Tc
1 1 1
Direct
0.2500 0.2500 0.2500
0.7500 0.7500 0.7500
0.0000 0.0000 0.0000

=====

No. 3
PBE TmInGeTe3, optimized geometry; DFT total energy = -49.0 eV per cell
1.0
1.2263 5.0197 -5.8525
-5.0911 -4.8453 3.3996
-3.7942 8.6106 6.5902
Te In Tm Ge
6 2 2 2
Direct
0.6383 0.3617 0.9553
0.6383 0.3617 0.5447
0.3617 0.6383 0.4553
0.0826 0.9174 0.2500
0.9174 0.0826 0.7500
0.3617 0.6383 0.0447
0.2533 0.7467 0.7500
0.7467 0.2533 0.2500
0.0000 0.0000 0.5000
0.0000 0.0000 0.0000
0.5341 0.4659 0.7500
0.4659 0.5341 0.2500

=====

No. 4
PBE Tm2InGe, optimized geometry; DFT total energy = -18.7 eV per cell
1.0
-2.2998 -1.9082 2.7873
4.5414 -3.5569 1.3121
4.5450 0.0532 3.7865
Tm In Ge
2 1 1
Direct
0.0000 0.8633 0.8633
0.5000 0.1434 0.1434
0.0000 0.5831 0.5831
0.5000 0.4102 0.4102

=====

No. 5
PBE UInGe, optimized geometry; DFT total energy = -16.7 eV per cell
1.0
0.0000 3.4380 3.4380
3.4380 0.0000 3.4380
3.4380 3.4380 0.0000
Ge In U
1 1 1
Direct
0.2500 0.2500 0.2500
0.0000 0.0000 0.0000
0.7500 0.7500 0.7500

=====

No. 6
PBE UInGe, optimized geometry; DFT total energy = -17.2 eV per cell
1.0
0.0000 3.4755 3.4755
3.4755 0.0000 3.4755
3.4755 3.4755 0.0000
Ge In U
1 1 1
Direct
0.7500 0.7500 0.7500
0.2500 0.2500 0.2500
0.0000 0.0000 0.0000